Entry from Alexandria: crystalline RbBa2LiCd at its relaxed geometry (PBE).

a = 6.878 Å, b = 6.878 Å, c = 5.696 Å
α = 90.00°, β = 90.00°, γ = 90.00°
Atoms (fractional coordinates):
1 Rb 0.000 0.000 0.000
2 Ba 0.000 0.500 0.500
3 Ba 0.500 0.000 0.500
4 Li 0.500 0.500 0.000
5 Cd 0.500 0.500 0.500

Results
For the formation energy, the calculation gives 0.044 eV/atom.

***

Entry from Alexandria: crystalline BaLiCdRh at its relaxed geometry (PBE).

a = 4.711 Å, b = 4.711 Å, c = 6.089 Å
α = 112.71°, β = 112.71°, γ = 59.89°
Atoms (fractional coordinates):
1 Ba 0.000 0.000 0.000
2 Li 0.813 0.813 0.436
3 Cd 0.512 0.512 0.531
4 Rh 0.197 0.197 0.587

Results
For the formation energy, the calculation gives -0.237 eV/atom.

***

Entry from Alexandria: crystalline Ba2LiCd3Sb4 at its relaxed geometry (PBE).

a = 5.263 Å, b = 5.263 Å, c = 11.095 Å
α = 90.00°, β = 90.00°, γ = 90.00°
Atoms (fractional coordinates):
1 Ba 0.000 0.500 0.243
2 Ba 0.500 0.000 0.757
3 Li 0.000 0.000 0.500
4 Cd 0.000 0.500 0.878
5 Cd 0.500 0.000 0.122
6 Cd 0.500 0.500 0.500
7 Sb 0.000 0.000 0.000
8 Sb 0.000 0.500 0.624
9 Sb 0.500 0.000 0.376
10 Sb 0.500 0.500 0.000

Results
The formation energy from raw total energies comes out at -0.54 eV per atom.

***

Entry from Alexandria: crystalline BaLi2CdSi at its relaxed geometry (PBE).

a = 5.007 Å, b = 5.007 Å, c = 5.469 Å
α = 90.00°, β = 90.00°, γ = 90.00°
Atoms (fractional coordinates):
1 Ba 0.000 0.000 0.000
2 Li 0.000 0.500 0.500
3 Li 0.500 0.000 0.500
4 Cd 0.500 0.500 0.000
5 Si 0.500 0.500 0.500

Results
The formation energy from raw total energies comes out at -0.08 eV per atom.

***

Looking at raw total energy for the records above, in order, we have -1.484 -3.263 -3.043 -2.501 eV/atom.
Looking at spin magnetization for the records above, in order, we have 0.000 0.000 0.000 0.000 μB per atom.